Record 1
A plane-wave DFT calculation with GGA-PBE was carried out for a relaxed structure of SnIrS2N.

Cell lengths 4.982, 4.982, 3.894 Å; angles 90.00, 90.00, 90.00 degrees
Positions (direct):
S (0.000, 0.500, 0.000)
S (0.500, 0.000, 0.000)
Ir (0.500, 0.500, 0.500)
Sn (0.000, 0.000, 0.000)
N (0.000, 0.000, 0.500)

Computed properties:
formation energy without anion corrections	1.564	eV/atom
M_tot	0.431	μB per atom
relative energy among the computed polymorphs	131.8	kJ per mole of atoms
Fermi-level density of states	4.55	states/eV/cell

---

Record 2
A plane-wave DFT calculation with GGA-PBE was carried out for a relaxed structure of SnIrS2N.

Cell lengths 4.391, 5.856, 4.391 Å; angles 90.00, 90.00, 90.00 degrees
Positions (direct):
S (0.000, 0.000, 0.500)
S (0.500, 0.000, 0.000)
Ir (0.000, 0.000, 0.000)
Sn (0.000, 0.500, 0.000)
N (0.500, 0.500, 0.500)

Computed properties:
formation energy without anion corrections	1.330	eV/atom
M_tot	0.000	μB per atom
relative energy among the computed polymorphs	109.3	kJ per mole of atoms
Fermi-level density of states	7.19	states/eV/cell

---

Record 3
A plane-wave DFT calculation with GGA-PBE was carried out for a relaxed structure of SrIrSN2.

Cell lengths 4.226, 4.226, 5.799 Å; angles 90.00, 90.00, 90.00 degrees
Positions (direct):
Sr (0.000, 0.000, 0.000)
S (0.000, 0.000, 0.500)
Ir (0.500, 0.500, 0.500)
N (0.000, 0.500, 0.000)
N (0.500, 0.000, 0.000)

Computed properties:
formation energy without anion corrections	2.414	eV/atom
M_tot	0.842	μB per atom
relative energy among the computed polymorphs	235.3	kJ per mole of atoms
Fermi-level density of states	5.16	states/eV/cell

---

Record 4
A plane-wave DFT calculation with GGA-PBE was carried out for a relaxed structure of SrIrSN2.

Cell lengths 3.930, 3.930, 5.206 Å; angles 90.00, 90.00, 90.00 degrees
Positions (direct):
Sr (0.500, 0.500, 0.500)
S (0.000, 0.000, 0.500)
Ir (0.000, 0.000, 0.000)
N (0.000, 0.500, 0.000)
N (0.500, 0.000, 0.000)

Computed properties:
formation energy without anion corrections	-0.025	eV/atom
M_tot	0.009	μB per atom
relative energy among the computed polymorphs	0.0	kJ per mole of atoms
Fermi-level density of states	2.12	states/eV/cell

---

Record 5
A plane-wave DFT calculation with GGA-PBE was carried out for a relaxed structure of TaIrS2N.

Cell lengths 4.827, 4.827, 3.615 Å; angles 90.00, 90.00, 90.00 degrees
Positions (direct):
N (0.000, 0.000, 0.500)
S (0.000, 0.500, 0.000)
S (0.500, 0.000, 0.000)
Ir (0.000, 0.000, 0.000)
Ta (0.500, 0.500, 0.500)

Computed properties:
formation energy without anion corrections	0.719	eV/atom
M_tot	0.408	μB per atom
relative energy among the computed polymorphs	0.5	kJ per mole of atoms
Fermi-level density of states	4.14	states/eV/cell

---

Record 6
A plane-wave DFT calculation with GGA-PBE was carried out for a relaxed structure of TaIrS2N.

Cell lengths 4.865, 4.865, 3.784 Å; angles 90.00, 90.00, 90.00 degrees
Positions (direct):
N (0.000, 0.000, 0.500)
S (0.000, 0.500, 0.000)
S (0.500, 0.000, 0.000)
Ir (0.500, 0.500, 0.500)
Ta (0.000, 0.000, 0.000)

Computed properties:
formation energy without anion corrections	0.713	eV/atom
M_tot	0.000	μB per atom
relative energy among the computed polymorphs	0.0	kJ per mole of atoms
Fermi-level density of states	5.13	states/eV/cell

---

Record 7
A plane-wave DFT calculation with GGA-PBE was carried out for a relaxed structure of TcIrSN2.

Cell lengths 3.741, 3.741, 5.181 Å; angles 90.00, 90.00, 90.00 degrees
Positions (direct):
S (0.000, 0.000, 0.500)
Ir (0.500, 0.500, 0.500)
Tc (0.000, 0.000, 0.000)
N (0.000, 0.500, 0.000)
N (0.500, 0.000, 0.000)

Computed properties:
formation energy without anion corrections	1.142	eV/atom
M_tot	0.131	μB per atom
relative energy among the computed polymorphs	0.0	kJ per mole of atoms
Fermi-level density of states	4.88	states/eV/cell

---

Record 8
A plane-wave DFT calculation with GGA-PBE was carried out for a relaxed structure of TcIrS2N.

Cell lengths 4.876, 4.876, 3.649 Å; angles 90.00, 90.00, 90.00 degrees
Positions (direct):
S (0.000, 0.500, 0.000)
S (0.500, 0.000, 0.000)
Ir (0.000, 0.000, 0.000)
Tc (0.500, 0.500, 0.500)
N (0.000, 0.000, 0.500)

Computed properties:
formation energy without anion corrections	0.891	eV/atom
M_tot	0.862	μB per atom
relative energy among the computed polymorphs	0.0	kJ per mole of atoms
Fermi-level density of states	3.09	states/eV/cell

---

Record 9
A plane-wave DFT calculation with GGA-PBE was carried out for a relaxed structure of TcIrS2N.

Cell lengths 4.719, 4.719, 3.631 Å; angles 90.00, 90.00, 90.00 degrees
Positions (direct):
S (0.000, 0.500, 0.000)
S (0.500, 0.000, 0.000)
Ir (0.500, 0.500, 0.500)
Tc (0.000, 0.000, 0.000)
N (0.000, 0.000, 0.500)

Computed properties:
formation energy without anion corrections	0.942	eV/atom
M_tot	0.000	μB per atom
relative energy among the computed polymorphs	5.0	kJ per mole of atoms
Fermi-level density of states	5.32	states/eV/cell

---

Record 10
A plane-wave DFT calculation with GGA-PBE was carried out for a relaxed structure of TcIrSN2.

Cell lengths 3.744, 3.744, 5.538 Å; angles 90.00, 90.00, 90.00 degrees
Positions (direct):
S (0.000, 0.000, 0.500)
Ir (0.000, 0.000, 0.000)
Tc (0.500, 0.500, 0.500)
N (0.000, 0.500, 0.000)
N (0.500, 0.000, 0.000)

Computed properties:
formation energy without anion corrections	1.196	eV/atom
M_tot	0.818	μB per atom
relative energy among the computed polymorphs	5.2	kJ per mole of atoms
Fermi-level density of states	4.23	states/eV/cell

---

Record 11
A plane-wave DFT calculation with GGA-PBE was carried out for a relaxed structure of TeIrSN2.

Cell lengths 3.579, 3.579, 7.736 Å; angles 90.00, 90.00, 90.00 degrees
Positions (direct):
S (0.000, 0.000, 0.000)
Ir (0.500, 0.500, 0.500)
Te (0.000, 0.000, 0.500)
N (0.000, 0.500, 0.000)
N (0.500, 0.000, 0.000)

Computed properties:
formation energy without anion corrections	1.730	eV/atom
M_tot	0.085	μB per atom
relative energy among the computed polymorphs	90.9	kJ per mole of atoms
Fermi-level density of states	3.12	states/eV/cell

---

Record 12
A plane-wave DFT calculation with GGA-PBE was carried out for a relaxed structure of Te2IrSN.

Cell lengths 5.252, 5.252, 3.271 Å; angles 90.00, 90.00, 90.00 degrees
Positions (direct):
S (0.000, 0.000, 0.000)
Ir (0.500, 0.500, 0.500)
Te (0.000, 0.500, 0.000)
Te (0.500, 0.000, 0.000)
N (0.000, 0.000, 0.500)

Computed properties:
formation energy without anion corrections	1.061	eV/atom
M_tot	0.000	μB per atom
relative energy among the computed polymorphs	49.4	kJ per mole of atoms
Fermi-level density of states	3.58	states/eV/cell

---

Among the records above, which one has the highest relative energy among the computed polymorphs?
number 3

---

What is the formula in the twelfth record?
Te2IrSN

---

M_tot of number 7 (TcIrSN2)?
0.131 μB per atom